[1]
First-principles (PBE) data for a geometry-optimized SrLiMg structure, as listed in Alexandria via LeMat-Bulk.

Formation energy from the elements (eV per atom): 0.443

abc: 5.6414 5.6414 5.6414
angles: 60.00 60.00 60.00
Positions (direct):
1 Mg 0.5000 0.5000 0.5000
2 Li 0.0000 0.0000 0.0000
3 Sr 0.7500 0.7500 0.7500

[2]
First-principles (PBE) data for a geometry-optimized SrTmTlHg structure, as listed in Alexandria via LeMat-Bulk.

Formation energy from the elements (eV per atom): -0.379

abc: 5.4825 5.4825 5.4825
angles: 60.00 60.00 60.00
Positions (direct):
1 Hg 0.5000 0.5000 0.5000
2 Tm 0.2500 0.2500 0.2500
3 Sr 0.7500 0.7500 0.7500
4 Tl 0.0000 0.0000 0.0000

[3]
First-principles (PBE) data for a geometry-optimized Pd2SeS structure, as listed in Alexandria via LeMat-Bulk.

Uncorrected formation energy (eV per atom): 0.005

abc: 4.4916 4.4916 4.4916
angles: 60.00 60.00 60.00
Positions (direct):
1 Pd 0.2500 0.2500 0.2500
2 Pd 0.7500 0.7500 0.7500
3 Se 0.5000 0.5000 0.5000
4 S 0.0000 0.0000 0.0000

[4]
First-principles (PBE) data for a geometry-optimized Mg2SnHgPd structure, as listed in Alexandria via LeMat-Bulk.

Formation energy from the elements (eV per atom): -0.203

abc: 5.1148 5.1148 4.9971
angles: 90.00 90.00 90.00
Positions (direct):
1 Mg 0.0000 0.5000 0.0000
2 Mg 0.5000 0.0000 0.0000
3 Sn 0.0000 0.0000 0.5000
4 Pd 0.0000 0.0000 0.0000
5 Hg 0.5000 0.5000 0.5000

[5]
First-principles (PBE) data for a geometry-optimized PrF3 structure, as listed in Alexandria via LeMat-Bulk.

Uncorrected formation energy (eV per atom): -3.931

abc: 7.1496 7.1496 7.1314
angles: 90.00 90.00 120.00
Positions (direct):
1 F 0.6667 0.3333 0.9986
2 Pr 0.3290 0.3290 0.0000
3 Pr 0.6710 0.6710 0.5000
4 F 0.3333 0.6667 0.4986
5 F 0.6559 0.6565 0.8342
6 Pr 0.6710 0.0000 0.0000
7 F 0.6559 0.9994 0.6658
8 F 0.6667 0.3333 0.5014
9 Pr 0.0000 0.6710 0.0000
10 F 0.3333 0.6667 0.0014
11 F 0.0006 0.6565 0.6658
12 F 0.0006 0.3441 0.8342
13 Pr 0.0000 0.3290 0.5000
14 F 0.6565 0.6559 0.1658
15 F 0.6565 0.0006 0.3342
16 F 0.3435 0.3441 0.6658
17 F 0.9994 0.6559 0.3342
18 F 0.3441 0.3435 0.3342
19 F 0.0000 0.0000 0.2500
20 F 0.0000 0.0000 0.7500
21 F 0.3435 0.9994 0.8342
22 F 0.3441 0.0006 0.1658
23 F 0.9994 0.3435 0.1658
24 Pr 0.3290 0.0000 0.5000

[6]
First-principles (PBE) data for a geometry-optimized Hg2PtRh structure, as listed in Alexandria via LeMat-Bulk.

Formation energy from the elements (eV per atom): 0.418

abc: 7.4498 7.4498 5.9828
angles: 51.49 51.49 90.00
Positions (direct):
1 Pt 0.7500 0.2500 0.5000
2 Hg 0.3750 0.3773 0.7500
3 Pt 0.0000 0.0000 0.0000
4 Rh 0.2500 0.7500 0.5000
5 Hg 0.6227 0.1250 0.2500
6 Rh 0.5000 0.5000 0.0000
7 Hg 0.1273 0.6250 0.2500
8 Hg 0.8750 0.8727 0.7500

[7]
First-principles (PBE) data for a geometry-optimized BaNaHg2 structure, as listed in Alexandria via LeMat-Bulk.

Formation energy from the elements (eV per atom): -0.362

abc: 4.0597 4.0597 7.6641
angles: 90.00 90.00 90.00
Positions (direct):
1 Hg 0.0000 0.0000 0.7850
2 Hg 0.0000 0.0000 0.2150
3 Na 0.5000 0.5000 0.0000
4 Ba 0.5000 0.5000 0.5000

[8]
First-principles (PBE) data for a geometry-optimized Si2IrRu structure, as listed in Alexandria via LeMat-Bulk.

Uncorrected formation energy (eV per atom): -0.238

abc: 4.9886 4.9886 4.9886
angles: 138.54 138.54 60.07
Positions (direct):
1 Si 0.0000 0.0000 0.0000
2 Ir 0.5000 0.5000 0.0000
3 Si 0.2500 0.7500 0.5000
4 Ru 0.7500 0.2500 0.5000

| no. | Fermi-level density of states (states/eV/cell) |
| --- | --- |
| 1 | 2.80 |
| 2 | 2.86 |
| 3 | 2.22 |
| 4 | 1.39 |
| 5 | 0.00 |
| 6 | 7.98 |
| 7 | 3.01 |
| 8 | 2.93 |